(1)
Computed, not measured: a relaxed structure of MnAl2In at the GGA-PBEsol level of DFT.

```
MnAl2In
1.0
-1.874 -2.369 -1.259
1.274 0.566 -2.961
4.167 -3.858 1.055
In Al Mn
1 2 1
Direct
0.000 0.000 0.513
0.500 0.500 0.220
0.000 0.000 0.973
0.500 0.500 0.794
```

E_tot	-5.105	eV/atom
symmetry	P4mm, No. 99
magnetic moment	0.00	μB per formula unit
energy of formation	0.127	eV/atom

---

(2)
Computed, not measured: a relaxed structure of AgHgSb2O at the GGA-PBEsol level of DFT.

```
AgHgSb2O
1.0
-3.107 -1.081 -2.001
0.196 -4.895 2.341
-3.200 1.787 4.005
Hg Ag Sb O
1 1 2 1
Direct
0.500 0.500 0.500
0.000 0.000 0.000
0.000 0.500 0.000
0.000 0.000 0.500
0.500 0.000 0.000
```

E_tot	-3.294	eV/atom
symmetry	P4/mmm, No. 123
magnetic moment	0.00	μB per formula unit
raw formation energy	170.9	kJ/mol of formula units

---

(3)
Computed, not measured: a relaxed structure of Tc2SnOsW at the GGA-PBEsol level of DFT.

```
Tc2SnOsW
1.0
4.651 0.000 0.000
0.000 4.651 0.000
0.000 0.000 4.715
Os Tc W Sn
1 2 1 1
Direct
0.000 0.000 0.500
0.000 0.500 0.000
0.500 0.000 0.000
0.000 0.000 0.000
0.500 0.500 0.500
```

E_tot	-8.746	eV/atom
symmetry	P4/mmm, No. 123
magnetic moment	1.41	μB per formula unit
energy of formation	1.818	eV/atom